(1)
Computed, not measured: a relaxed structure of Ba4HIrI2 at the PBE level of DFT.

Cell lengths 7.6656, 4.5642, 8.9981 Å; angles 90.00, 106.47, 90.00 degrees
Last column: nearest neighbours and their distance in Å.
Space group P2/m (No. 10)
Asymmetric unit:
Ba (0.2335, 0.0000, 0.1959)  1 H 3.05, 2 Ir 3.12
Ba (0.2577, 0.5000, 0.8030)  1 Ir 3.00, 2 H 3.15
H (0.5000, 0.0000, 0.0000)  6 Ba 3.05-3.15
Ir (0.0000, 0.5000, 0.0000)  6 Ba 3.00-3.12
I (0.0000, 0.0000, 0.5000)  6 Ba 3.67
I (0.5000, 0.5000, 0.5000)  6 Ba 3.70-3.71

The energy comes out at -3.6873 eV per atom. The value obtained for the size of the total moment is 0.000 μB per atom.

=====

(2)
Computed, not measured: a relaxed structure of KBaH2I at the PBE level of DFT.

Cell lengths 4.9837, 4.9837, 11.3891 Å; angles 90.00, 90.00, 90.00 degrees
Last column: nearest neighbours and their distance in Å.
Space group P4/mmm (No. 123)
Asymmetric unit:
K (0.0000, 0.0000, 0.0000)  4 I 3.52
Ba (0.0000, 0.0000, 0.5000)  4 H 2.49
H (0.0000, 0.5000, 0.5000)  2 Ba 2.49
I (0.5000, 0.5000, 0.0000)  4 K 3.52

The energy comes out at -2.7868 eV per atom. The value obtained for the size of the total moment is 0.000 μB per atom.

=====

(3)
Computed, not measured: a relaxed structure of KBaHI2 at the PBE level of DFT.

Cell lengths 4.8552, 4.8552, 15.3582 Å; angles 90.00, 90.00, 90.00 degrees
Last column: nearest neighbours and their distance in Å.
Space group P4/nmm (No. 129, origin choice 2)
Asymmetric unit:
K (0.2500, 0.2500, 0.1051)  6 I 3.45-3.60
Ba (0.2500, 0.2500, 0.5849)  4 H 2.76
H (0.2500, 0.7500, 0.5000)  4 Ba 2.76
I (0.2500, 0.2500, 0.3335)  1 K 3.51, 4 H 3.53, 5 Ba 3.66-3.86
I (0.2500, 0.2500, 0.8709)  5 K 3.45-3.60

The energy comes out at -3.1934 eV per atom. The value obtained for the size of the total moment is 0.000 μB per atom.

=====

(4)
Computed, not measured: a relaxed structure of Ba2LiHI at the PBE level of DFT.

Cell lengths 6.0781, 6.0781, 4.1261 Å; angles 90.00, 90.00, 90.00 degrees
Last column: nearest neighbours and their distance in Å.
Space group P4/mmm (No. 123)
Asymmetric unit:
Ba (0.0000, 0.5000, 0.0000)  2 H 3.04
Li (0.0000, 0.0000, 0.5000)  2 H 2.06
H (0.0000, 0.0000, 0.0000)  2 Li 2.06
I (0.5000, 0.5000, 0.5000)  8 Ba 3.67

The energy comes out at -2.6260 eV per atom. The value obtained for the size of the total moment is 0.249 μB per atom.

=====

(5)
Computed, not measured: a relaxed structure of BaMg2HI at the PBE level of DFT.

Cell lengths 4.9098, 4.9098, 5.6866 Å; angles 90.00, 90.00, 90.00 degrees
Last column: nearest neighbours and their distance in Å.
Space group P4/mmm (No. 123)
Asymmetric unit:
Ba (0.0000, 0.0000, 0.0000)  2 H 2.84
Mg (0.0000, 0.5000, 0.5000)  2 H 2.45
H (0.0000, 0.0000, 0.5000)  4 Mg 2.45
I (0.5000, 0.5000, 0.0000)  4 Ba 3.47, 8 Mg 3.76

The energy comes out at -2.2403 eV per atom. The value obtained for the size of the total moment is 0.000 μB per atom.

=====

(6)
Computed, not measured: a relaxed structure of Ba2H2I2N at the PBE level of DFT.

Cell lengths 4.3894, 8.3391, 10.1603 Å; angles 90.00, 90.00, 90.00 degrees
Last column: nearest neighbours and their distance in Å.
Space group Immm (No. 71)
Asymmetric unit:
Ba (0.0000, 0.2351, 0.0000)  2 N 2.94, 4 H 3.11
H (0.0000, 0.5000, 0.4010)  1 N 1.01
I (0.0000, 0.0000, 0.3037)  2 H 3.02
N (0.0000, 0.5000, 0.5000)  2 H 1.01

The energy comes out at -4.0041 eV per atom. The value obtained for the size of the total moment is 0.000 μB per atom.

=====

Question: Which of these has the highest energy?
Answer: BaMg2HI